Entry 1:
## ZrPaBiTe (PBE)

Data for ZrPaBiTe after structural relaxation.

Output
Its space group is F-43m. The value obtained for the energy relative to the elements, uncorrected is -0.47 eV per atom.

Lattice parameters (Å, degrees): 5.2192 5.2192 5.2192 60.00 60.00 60.00
Last column: nearest neighbours and their distance in Å.
Fractional coordinates of all 4 atoms:
Pa1 0.0000 0.0000 0.0000  4 Te 3.20, 4 Bi 3.20
Te1 0.7500 0.7500 0.7500  4 Zr 3.20, 4 Pa 3.20
Bi1 0.2500 0.2500 0.2500  4 Pa 3.20, 4 Zr 3.20
Zr1 0.5000 0.5000 0.5000  4 Bi 3.20, 4 Te 3.20

***

Entry 2:
## ThPaBi2 (PBE)

Data for ThPaBi2 after structural relaxation.

Output
Its space group is P4/mmm. The calculation puts the energy above the most stable polymorph in this dataset at 0 meV/atom.

Lattice parameters (Å, degrees): 3.8771 3.8771 7.7806 90.00 90.00 90.00
Last column: nearest neighbours and their distance in Å.
Fractional coordinates of all 4 atoms:
Pa1 0.5000 0.5000 0.0000  8 Bi 3.32
Bi1 0.0000 0.0000 0.7595  4 Pa 3.32, 4 Th 3.40
Bi2 0.0000 0.0000 0.2405  4 Pa 3.32, 4 Th 3.40
Th1 0.5000 0.5000 0.5000  8 Bi 3.40

***

Entry 3:
## Th12Pa3Bi5 (PBE)

Data for Th12Pa3Bi5 after structural relaxation.

Output
Its space group is Ia-3d. As for the raw total energy: -6.30 eV/atom.

Lattice parameters (Å, degrees): 16.0562 16.0562 16.0562 109.47 109.47 109.47
Last column: nearest neighbours and their distance in Å.
Fractional coordinates of all 80 atoms:
Pa1 0.7500 0.3750 0.1250  4 Th 3.14
Pa2 0.8750 0.7500 0.1250  4 Th 3.14
Pa3 0.3750 0.7500 0.6250  4 Th 3.14
Pa4 0.2500 0.1250 0.3750  4 Th 3.14
Pa5 0.8750 0.1250 0.2500  4 Th 3.14
Pa6 0.3750 0.6250 0.2500  4 Th 3.14
Pa7 0.6250 0.3750 0.7500  4 Th 3.14
Pa8 0.1250 0.8750 0.7500  4 Th 3.14
Pa9 0.7500 0.8750 0.6250  4 Th 3.14
Pa10 0.6250 0.2500 0.3750  4 Th 3.14
Pa11 0.1250 0.2500 0.8750  4 Th 3.14
Pa12 0.2500 0.6250 0.8750  4 Th 3.14
Bi1 0.1250 0.3750 0.2500  4 Th 3.15
Bi2 0.0000 0.5000 0.0000  6 Th 3.20
Bi3 0.0000 0.0000 0.0000  6 Th 3.20
Bi4 0.3750 0.2500 0.1250  4 Th 3.15
Bi5 0.5000 0.0000 0.5000  6 Th 3.20
Bi6 0.5000 0.5000 0.0000  6 Th 3.20
Bi7 0.1250 0.7500 0.3750  4 Th 3.15
Bi8 0.7500 0.1250 0.8750  4 Th 3.15
Bi9 0.7500 0.6250 0.3750  4 Th 3.15
Bi10 0.3750 0.1250 0.7500  4 Th 3.15
Bi11 0.6250 0.8750 0.2500  4 Th 3.15
Bi12 0.5000 0.5000 0.5000  6 Th 3.20
Bi13 0.5000 0.0000 0.0000  6 Th 3.20
Bi14 0.0000 0.0000 0.5000  6 Th 3.20
Bi15 0.2500 0.3750 0.6250  4 Th 3.15
Bi16 0.2500 0.8750 0.1250  4 Th 3.15
Bi17 0.0000 0.5000 0.5000  6 Th 3.20
Bi18 0.8750 0.2500 0.6250  4 Th 3.15
Bi19 0.6250 0.7500 0.8750  4 Th 3.15
Bi20 0.8750 0.6250 0.7500  4 Th 3.15
Th1 0.7339 0.1350 0.0680  1 Pa 3.14, 2 Bi 3.15-3.20, 1 Th 3.39
Th2 0.3341 0.5680 0.4330  1 Pa 3.14, 2 Bi 3.15-3.20, 1 Th 3.39
Th3 0.9320 0.3650 0.2661  1 Pa 3.14, 2 Bi 3.15-3.20, 1 Th 3.39
Th4 0.5680 0.2339 0.1350  1 Pa 3.14, 2 Bi 3.15-3.20, 1 Th 3.39
Th5 0.5990 0.7339 0.6659  1 Pa 3.14, 2 Bi 3.15-3.20, 1 Th 3.39
Th6 0.9320 0.5670 0.1659  1 Pa 3.14, 2 Bi 3.15-3.20, 1 Th 3.39
Th7 0.3341 0.7661 0.4010  1 Pa 3.14, 2 Bi 3.15-3.20, 1 Th 3.39
Th8 0.0670 0.9010 0.1350  1 Pa 3.14, 2 Bi 3.15-3.20, 1 Th 3.39
Th9 0.5670 0.9320 0.6659  1 Pa 3.14, 2 Bi 3.15-3.20, 1 Th 3.39
Th10 0.7339 0.5990 0.1659  1 Pa 3.14, 2 Bi 3.15-3.20, 1 Th 3.39
Th11 0.7661 0.4320 0.3650  1 Pa 3.14, 2 Bi 3.15-3.20, 1 Th 3.39
Th12 0.8341 0.9330 0.0680  1 Pa 3.14, 2 Bi 3.15-3.20, 1 Th 3.39
Th13 0.1350 0.7339 0.5680  1 Pa 3.14, 2 Bi 3.15-3.20, 1 Th 3.39
Th14 0.3650 0.4330 0.0990  1 Pa 3.14, 2 Bi 3.15-3.20, 1 Th 3.39
Th15 0.0990 0.9330 0.3650  1 Pa 3.14, 2 Bi 3.15-3.20, 1 Th 3.39
Th16 0.4010 0.1350 0.5670  1 Pa 3.14, 2 Bi 3.15-3.20, 1 Th 3.39
Th17 0.0990 0.1659 0.2339  1 Pa 3.14, 2 Bi 3.15-3.20, 1 Th 3.39
Th18 0.4320 0.6659 0.0670  1 Pa 3.14, 2 Bi 3.15-3.20, 1 Th 3.39
Th19 0.8341 0.9010 0.2661  1 Pa 3.14, 2 Bi 3.15-3.20, 1 Th 3.39
Th20 0.1350 0.4010 0.0670  1 Pa 3.14, 2 Bi 3.15-3.20, 1 Th 3.39
Th21 0.3650 0.9320 0.7661  1 Pa 3.14, 2 Bi 3.15-3.20, 1 Th 3.39
Th22 0.5670 0.6350 0.4010  1 Pa 3.14, 2 Bi 3.15-3.20, 1 Th 3.39
Th23 0.9330 0.8341 0.5680  1 Pa 3.14, 2 Bi 3.15-3.20, 1 Th 3.39
Th24 0.7661 0.3341 0.9010  1 Pa 3.14, 2 Bi 3.15-3.20, 1 Th 3.39
Th25 0.4330 0.3650 0.5990  1 Pa 3.14, 2 Bi 3.15-3.20, 1 Th 3.39
Th26 0.0670 0.1659 0.4320  1 Pa 3.14, 2 Bi 3.15-3.20, 1 Th 3.39
Th27 0.2339 0.6659 0.0990  1 Pa 3.14, 2 Bi 3.15-3.20, 1 Th 3.39
Th28 0.1659 0.0990 0.7339  1 Pa 3.14, 2 Bi 3.15-3.20, 1 Th 3.39
Th29 0.6350 0.0680 0.2339  1 Pa 3.14, 2 Bi 3.15-3.20, 1 Th 3.39
Th30 0.8650 0.5990 0.9330  1 Pa 3.14, 2 Bi 3.15-3.20, 1 Th 3.39
Th31 0.5680 0.3341 0.9330  1 Pa 3.14, 2 Bi 3.15-3.20, 1 Th 3.39
Th32 0.5990 0.8650 0.4330  1 Pa 3.14, 2 Bi 3.15-3.20, 1 Th 3.39
Th33 0.9010 0.8341 0.7661  1 Pa 3.14, 2 Bi 3.15-3.20, 1 Th 3.39
Th34 0.9010 0.0670 0.6350  1 Pa 3.14, 2 Bi 3.15-3.20, 1 Th 3.39
Th35 0.8650 0.2661 0.4320  1 Pa 3.14, 2 Bi 3.15-3.20, 1 Th 3.39
Th36 0.1659 0.0670 0.9320  1 Pa 3.14, 2 Bi 3.15-3.20, 1 Th 3.39
Th37 0.6350 0.5670 0.9010  1 Pa 3.14, 2 Bi 3.15-3.20, 1 Th 3.39
Th38 0.4330 0.0680 0.3341  1 Pa 3.14, 2 Bi 3.15-3.20, 1 Th 3.39
Th39 0.2661 0.4010 0.8341  1 Pa 3.14, 2 Bi 3.15-3.20, 1 Th 3.39
Th40 0.2339 0.5680 0.6350  1 Pa 3.14, 2 Bi 3.15-3.20, 1 Th 3.39
Th41 0.9330 0.0990 0.8650  1 Pa 3.14, 2 Bi 3.15-3.20, 1 Th 3.39
Th42 0.6659 0.2339 0.5990  1 Pa 3.14, 2 Bi 3.15-3.20, 1 Th 3.39
Th43 0.4320 0.7661 0.8650  1 Pa 3.14, 2 Bi 3.15-3.20, 1 Th 3.39
Th44 0.0680 0.4330 0.8341  1 Pa 3.14, 2 Bi 3.15-3.20, 1 Th 3.39
Th45 0.4010 0.2661 0.3341  1 Pa 3.14, 2 Bi 3.15-3.20, 1 Th 3.39
Th46 0.0680 0.6350 0.7339  1 Pa 3.14, 2 Bi 3.15-3.20, 1 Th 3.39
Th47 0.6659 0.4320 0.5670  1 Pa 3.14, 2 Bi 3.15-3.20, 1 Th 3.39
Th48 0.2661 0.8650 0.9320  1 Pa 3.14, 2 Bi 3.15-3.20, 1 Th 3.39

***

Entry 4:
## ThPaBi2 (PBE)

Data for ThPaBi2 after structural relaxation.

Output
Its space group is Fm-3m. The calculation puts the energy above the most stable polymorph in this dataset at 8 meV/atom.

Lattice parameters (Å, degrees): 5.4848 5.4848 5.4848 60.00 60.00 60.00
Last column: nearest neighbours and their distance in Å.
Fractional coordinates of all 4 atoms:
Pa1 0.0000 0.0000 0.0000  8 Bi 3.36
Bi1 0.2500 0.2500 0.2500  4 Th 3.36, 4 Pa 3.36
Bi2 0.7500 0.7500 0.7500  4 Th 3.36, 4 Pa 3.36
Th1 0.5000 0.5000 0.5000  8 Bi 3.36

***

Entry 5:
## Th12PaBi6 (PBE)

Data for Th12PaBi6 after structural relaxation.

Output
Its space group is R-3. As for the raw total energy: -6.36 eV/atom.

Lattice parameters (Å, degrees): 8.9640 8.9640 8.9640 101.61 101.61 101.61
Last column: nearest neighbours and their distance in Å.
Fractional coordinates of all 19 atoms:
Th1 0.7967 0.5977 0.4736  4 Bi 3.27-3.41, 1 Th 3.53
Th2 0.4736 0.7967 0.5977  4 Bi 3.27-3.41, 1 Th 3.53
Th3 0.5977 0.4736 0.7967  4 Bi 3.27-3.41, 1 Th 3.53
Th4 0.2033 0.4023 0.5264  4 Bi 3.27-3.41, 1 Th 3.53
Th5 0.5264 0.2033 0.4023  4 Bi 3.27-3.41, 1 Th 3.53
Th6 0.4023 0.5264 0.2033  4 Bi 3.27-3.41, 1 Th 3.53
Th7 0.0532 0.0012 0.3247  1 Pa 2.85
Th8 0.9988 0.6753 0.9468  1 Pa 2.85
Th9 0.6753 0.9468 0.9988  1 Pa 2.85
Th10 0.9468 0.9988 0.6753  1 Pa 2.85
Th11 0.0012 0.3247 0.0532  1 Pa 2.85
Th12 0.3247 0.0532 0.0012  1 Pa 2.85
Pa1 0.0000 0.0000 0.0000  6 Th 2.85
Bi1 0.6662 0.8849 0.3406  7 Th 3.24-3.46
Bi2 0.6594 0.3338 0.1151  7 Th 3.24-3.46
Bi3 0.1151 0.6594 0.3338  7 Th 3.24-3.46
Bi4 0.3338 0.1151 0.6594  7 Th 3.24-3.46
Bi5 0.3406 0.6662 0.8849  7 Th 3.24-3.46
Bi6 0.8849 0.3406 0.6662  7 Th 3.24-3.46

***

Entry 6:
## ThPa4Bi (PBE)

Data for ThPa4Bi after structural relaxation.

Output
Its space group is F-43m. As for the raw total energy: -8.11 eV/atom.

Lattice parameters (Å, degrees): 6.1046 6.1046 6.1046 60.00 60.00 60.00
Last column: nearest neighbours and their distance in Å.
Fractional coordinates of all 6 atoms:
Pa1 0.6269 0.6269 0.1194  6 Pa 3.01-3.10
Pa2 0.6269 0.1194 0.6269  6 Pa 3.01-3.10
Pa3 0.6269 0.6269 0.6269  6 Pa 3.01-3.10
Pa4 0.1194 0.6269 0.6269  6 Pa 3.01-3.10
Bi1 0.0000 0.0000 0.0000  12 Pa 3.57, 4 Th 3.74
Th1 0.2500 0.2500 0.2500  12 Pa 3.58, 4 Bi 3.74

***

Entry 7:
## ThPaBi6 (PBE)

Data for ThPaBi6 after structural relaxation.

Output
Its space group is Amm2. As for the raw total energy: -5.23 eV/atom.

Lattice parameters (Å, degrees): 4.5075 4.5366 12.9374 90.00 100.03 90.00
Last column: nearest neighbours and their distance in Å.
Fractional coordinates of all 8 atoms:
Th1 0.8276 0.0000 0.6553  7 Bi 3.29-3.41
Pa1 0.1713 0.5000 0.3425  9 Bi 3.20-3.44
Bi1 0.5742 0.5000 0.1484  4 Bi 3.20, 2 Pa 3.35
Bi2 0.4243 0.0000 0.8486  4 Bi 3.23, 2 Th 3.34
Bi3 0.2967 0.5000 0.5935  1 Pa 3.20, 4 Th 3.29
Bi4 0.6936 0.0000 0.3872  4 Pa 3.25, 1 Th 3.41
Bi5 0.9423 0.5000 0.8846  4 Bi 3.23
Bi6 0.0699 0.0000 0.1398  4 Bi 3.20, 2 Pa 3.44

***

Entry 8:
## Pa2TiBi (PBE)

Data for Pa2TiBi after structural relaxation.

Output
Its space group is P2_1/m. The calculation puts the energy above the most stable polymorph in this dataset at 21 meV/atom.

Lattice parameters (Å, degrees): 4.2073 4.3716 10.7353 90.00 101.31 90.00
Last column: nearest neighbours and their distance in Å.
Fractional coordinates of all 8 atoms:
Pa1 0.5587 0.2500 0.1172  8 Pa 3.04-3.37, 2 Ti 3.24
Pa2 0.4413 0.7500 0.8828  8 Pa 3.04-3.37, 2 Ti 3.24
Pa3 0.0666 0.7500 0.1323  6 Pa 3.04-3.37, 2 Ti 3.06-3.07, 2 Bi 3.34
Pa4 0.9334 0.2500 0.8677  6 Pa 3.04-3.37, 2 Ti 3.06-3.07, 2 Bi 3.34
Ti1 0.6735 0.7500 0.3442  5 Bi 2.98-3.05, 4 Pa 3.06-3.24
Ti2 0.3265 0.2500 0.6558  5 Bi 2.98-3.05, 4 Pa 3.06-3.24
Bi1 0.1873 0.2500 0.3724  5 Ti 2.98-3.05, 2 Pa 3.34
Bi2 0.8127 0.7500 0.6276  5 Ti 2.98-3.05, 2 Pa 3.34